Entry from the Alexandria database: an optimized crystal structure of YbMoClO4 (PBE+U).

Unit cell a=10.7689 b=7.3095 c=6.9815 alpha=90.00 beta=106.56 gamma=90.00
Closest atoms and distances in Å follow each position.
Space group C2/m (No. 12)
Symmetry-distinct sites (fractional):
Yb (0.2462, 0.0000, 0.1265) x4  4 O 2.30-2.34
Mo (0.1416, 0.5000, 0.2694) x4  4 O 1.78-1.81
Cl (0.0137, 0.0000, 0.8125) x4  1 Cl 2.72, 2 Yb 2.82-2.95
O (0.0309, 0.5000, 0.7864) x4  1 Mo 1.79
O (0.1995, 0.3094, 0.1526) x8  1 Mo 1.81
O (0.2130, 0.5000, 0.5323) x4  1 Mo 1.78

Summary:
E_tot = -6.31 eV per atom
Theoretical density = 4.65 g cm⁻³